! ZnFe2O4 | the Alexandria database | PBE+U | relaxed; values from VASP
! Space-group type: R3m
! Total DFT energy (no corrections) in eV per atom: -5.7367
! ρ in Mg/m³: 5.57
! E above lowest polymorph in eV per formula unit: 1.679
! Total magnetization in Bohr magnetons per cell: 6.0
&SYSTEM
  ibrav = 0, nat = 56, ntyp = 3
/
ATOMIC_SPECIES
Fe 55.84 Fe.upf
O 16.00 O.upf
Zn 65.41 Zn.upf
CELL_PARAMETERS angstrom
-1.679 -1.737 5.366
-1.575 -5.594 0.923
13.829 -14.189 12.643
ATOMIC_POSITIONS crystal
Fe 0.623 0.623 0.409
Fe 0.247 0.247 0.315
Fe 0.628 0.127 0.904
Fe 0.248 0.248 0.064
Fe 0.627 0.627 0.156
Fe 0.124 0.624 0.657
Fe 0.624 0.624 0.657
Fe 0.119 0.623 0.409
Fe 0.122 0.627 0.156
Fe 0.622 0.622 0.534
Fe 0.628 0.628 0.904
Fe 0.627 0.122 0.156
Fe 0.127 0.628 0.904
Fe 0.624 0.124 0.657
Fe 0.623 0.119 0.409
Fe 0.626 0.626 0.780
O 0.386 0.835 0.598
O 0.373 0.848 0.352
O 0.385 0.385 0.461
O 0.872 0.872 0.211
O 0.860 0.860 0.605
O 0.876 0.414 0.958
O 0.391 0.391 0.845
O 0.384 0.384 0.962
O 0.848 0.373 0.352
O 0.388 0.388 0.709
O 0.373 0.373 0.352
O 0.858 0.858 0.468
O 0.413 0.872 0.211
O 0.872 0.413 0.211
O 0.414 0.876 0.958
O 0.861 0.861 0.354
O 0.414 0.863 0.715
O 0.858 0.413 0.468
O 0.848 0.376 0.100
O 0.376 0.376 0.100
O 0.383 0.383 0.213
O 0.865 0.865 0.852
O 0.413 0.858 0.468
O 0.863 0.414 0.715
O 0.376 0.848 0.100
O 0.835 0.386 0.598
O 0.391 0.836 0.845
O 0.386 0.386 0.598
O 0.863 0.863 0.715
O 0.864 0.864 0.102
O 0.876 0.876 0.958
O 0.836 0.391 0.845
Zn 0.629 0.629 0.028
Zn 0.246 0.246 0.566
Zn 0.997 0.997 0.502
Zn 0.625 0.625 0.281
Zn 0.007 0.007 0.995
Zn 0.249 0.249 0.813
Zn 0.005 0.005 0.246
Zn 0.001 0.001 0.749